# 1
# NpSc2PaAs4

A relaxed NpSc2PaAs4 crystal (PBE, the Alexandria database).

Results
The total magnetic moment is 4.6 μB per cell. As for the formation energy: -1125 meV per atom. The calculation puts the volume at 22.53 Å³ per atom. As for the total energy: -7.837 eV/atom.

POSCAR file:
```
NpSc2PaAs4
1.0
4.004 0.000 0.000
0.000 6.902 -0.128
0.000 2.440 6.476
Np Sc As Pa
1 2 4 1
direct
0.000 0.500 0.500
0.500 0.000 0.500
0.000 0.000 0.000
0.500 0.236 0.755
0.000 0.765 0.746
0.500 0.764 0.245
0.000 0.235 0.254
0.500 0.500 0.000
```

***

# 2
# Pr6As2PbSe3

A relaxed Pr6As2PbSe3 crystal (PBE, the Alexandria database).

Results
The total magnetic moment is 0.0 μB per cell. The calculation puts the formation energy (no corrections) at -1.5373 eV per atom. The calculation puts the volume at 29.09 Å³ per atom. As for the total energy: -5.882 eV/atom.

POSCAR file:
```
Pr6As2PbSe3
1.0
-0.303 -4.091 -1.429
5.499 1.860 -6.495
5.925 -0.808 7.661
As Pr Se Pb
2 6 3 1
direct
0.168 0.335 0.336
0.832 0.665 0.664
0.329 0.906 0.659
0.670 0.577 0.340
0.003 0.261 0.006
0.997 0.739 0.994
0.330 0.423 0.660
0.671 0.094 0.341
0.835 0.168 0.669
0.165 0.832 0.331
0.500 0.500 0.000
0.500 0.000 0.000
```

***

# 3
# Pu3AgO9

A relaxed Pu3AgO9 crystal (PBE, the Alexandria database).

Results
The total magnetic moment is 7.0 μB per cell. The calculation puts the formation energy (no corrections) at -2.1728 eV per atom. The calculation puts the volume at 17.37 Å³ per atom. As for the total energy: -9.132 eV/atom.

POSCAR file:
```
Pu3AgO9
1.0
4.120 0.000 0.000
0.000 6.889 -3.977
0.000 0.000 7.955
Ag O Pu
1 9 3
direct
0.000 0.000 0.000
0.500 0.590 0.795
0.000 0.500 0.500
0.500 0.205 0.410
0.500 0.795 0.205
0.000 0.500 0.000
0.500 0.205 0.795
0.500 0.410 0.205
0.500 0.795 0.590
0.000 0.000 0.500
0.500 0.500 0.500
0.500 0.500 0.000
0.500 0.000 0.500
```

***

# 4
# CsYMg2Hg

A relaxed CsYMg2Hg crystal (PBE, the Alexandria database).

Results
The total magnetic moment is 0.8 μB per cell. As for the formation energy: 523 meV per atom. The calculation puts the volume at 38.10 Å³ per atom. As for the total energy: -1.639 eV/atom.

POSCAR file:
```
CsYMg2Hg
1.0
5.488 0.000 0.000
0.000 6.325 0.000
0.000 0.000 5.488
Cs Y Mg Hg
1 1 2 1
direct
0.000 0.500 0.000
0.500 0.500 0.500
0.500 0.000 0.000
0.000 0.000 0.500
0.000 0.000 0.000
```